1) La2Tb3Sc | PBE | optimized geometry

Geometry as POSCAR:
```
La2Tb3Sc
1.0
7.013 0.000 0.000
0.000 9.778 0.000
0.000 0.000 5.649
La Tb Sc
4 6 2
Direct
0.246 0.168 0.000
0.254 0.668 0.500
0.746 0.332 0.500
0.754 0.832 0.000
0.000 0.500 0.000
0.250 0.333 0.500
0.250 0.833 0.000
0.500 0.000 0.500
0.750 0.167 0.000
0.750 0.667 0.500
0.000 0.000 0.500
0.500 0.500 0.000
```

Summary:
Total magnetization = 0.0 μB per formula unit

***

2) La2Tb3Sc | PBE | optimized geometry

Geometry as POSCAR:
```
La2Tb3Sc
1.0
2.526 -7.555 0.000
2.526 7.555 0.000
0.000 0.000 5.090
La Tb Sc
2 3 1
Direct
0.162 0.838 0.000
0.838 0.162 0.000
0.000 0.000 0.500
0.336 0.664 0.500
0.664 0.336 0.500
0.500 0.500 0.000
```

Summary:
Total magnetization = 0.0 μB per formula unit

***

Stability, highest: 2)

***

1) LaTb2Sc2 | PBE | optimized geometry

Geometry as POSCAR:
```
LaTb2Sc2
1.0
5.961 0.000 0.000
2.052 6.700 0.000
1.920 1.244 7.394
La Tb Sc
2 4 4
Direct
0.000 0.250 0.000
0.000 0.750 0.000
0.210 0.049 0.595
0.210 0.549 0.595
0.790 0.451 0.405
0.790 0.951 0.405
0.404 0.350 0.195
0.405 0.850 0.195
0.595 0.150 0.805
0.596 0.650 0.805
```

Summary:
Total magnetization = 0.0 μB per formula unit

***

2) LaTb2Sc2 | PBE | optimized geometry

Geometry as POSCAR:
```
LaTb2Sc2
1.0
-1.862 1.862 10.919
1.862 -1.862 10.919
1.862 1.862 -10.919
La Tb Sc
1 2 2
Direct
0.000 0.000 0.000
0.382 0.382 0.000
0.618 0.618 0.000
0.213 0.213 0.000
0.787 0.787 0.000
```

Summary:
Total magnetization = 0.0 μB per formula unit

***

Stability, highest: 1)

***

1) LaTb3Sc2 | PBE | optimized geometry

Geometry as POSCAR:
```
LaTb3Sc2
1.0
6.536 0.000 0.000
-3.268 5.660 0.000
0.000 0.000 10.257
La Tb Sc
2 6 4
Direct
0.333 0.667 0.430
0.667 0.333 0.570
0.171 0.342 0.767
0.171 0.829 0.767
0.342 0.171 0.233
0.658 0.829 0.767
0.829 0.171 0.233
0.829 0.658 0.233
0.000 0.000 0.000
0.000 0.000 0.500
0.333 0.667 0.065
0.667 0.333 0.935
```

Summary:
Total magnetization = 2.2 μB per formula unit

***

2) LaTb3Sc2 | PBE | optimized geometry

Geometry as POSCAR:
```
LaTb3Sc2
1.0
11.425 -1.704 0.000
11.425 1.704 0.000
-3.074 0.000 9.474
La Tb Sc
2 6 4
Direct
0.183 0.183 0.048
0.817 0.817 0.952
0.060 0.060 0.437
0.197 0.197 0.706
0.434 0.434 0.230
0.566 0.566 0.770
0.803 0.803 0.294
0.940 0.940 0.563
0.191 0.191 0.375
0.431 0.431 0.857
0.569 0.569 0.143
0.809 0.809 0.625
```

Summary:
Total magnetization = 0.0 μB per formula unit

***

Stability, highest: 2)

***

1) LaTb6Sc4 | PBE | optimized geometry

Geometry as POSCAR:
```
LaTb6Sc4
1.0
8.755 0.000 0.000
-4.378 7.582 0.000
0.000 0.000 5.267
La Tb Sc
1 6 4
Direct
0.000 0.000 0.000
0.201 0.401 0.500
0.201 0.799 0.500
0.533 0.066 0.000
0.533 0.467 0.000
0.599 0.799 0.500
0.934 0.467 0.000
0.333 0.667 0.000
0.428 0.214 0.500
0.786 0.214 0.500
0.786 0.572 0.500
```

Summary:
Total magnetization = 0.0 μB per formula unit

***

2) LaTb6Sc4 | PBE | optimized geometry

Geometry as POSCAR:
```
LaTb6Sc4
1.0
2.762 -4.733 0.000
2.762 4.733 0.000
0.000 0.000 25.093
La Tb Sc
2 12 8
Direct
0.176 0.824 0.750
0.824 0.176 0.250
0.156 0.844 0.177
0.156 0.844 0.323
0.175 0.825 0.594
0.175 0.825 0.906
0.490 0.510 0.250
0.500 0.500 0.000
0.500 0.500 0.500
0.510 0.490 0.750
0.825 0.175 0.094
0.825 0.175 0.406
0.844 0.156 0.677
0.844 0.156 0.823
0.163 0.837 0.043
0.163 0.837 0.457
0.490 0.510 0.124
0.490 0.510 0.376
0.510 0.490 0.624
0.510 0.490 0.876
0.837 0.163 0.543
0.837 0.163 0.957
```

Summary:
Total magnetization = 0.0 μB per formula unit

***

Stability, highest: 2)